(1)
VASP calculation (PBE) on a geometry-optimized AlIn2P structure.

abc: 3.508 3.508 7.630
angles: 90.00 90.00 90.00
Fractional positions:
Al1 0.000 0.000 0.000
In1 0.000 0.000 0.635
In2 0.500 0.500 0.393
P1 0.500 0.500 0.057

Computed properties:
SG: P4mm, No. 99
Total magnetization in μB per atom: 0.000
Calculated density in g/cm3: 5.1
Formation energy in kJ/mol of atoms: -3.2

---

(2)
VASP calculation (PBE) on a geometry-optimized AlIn2P2 structure.

abc: 7.301 7.301 4.056
angles: 90.00 90.00 90.00
Fractional positions:
Al1 0.000 0.000 0.000
Al2 0.500 0.500 0.000
In1 0.136 0.364 0.500
In2 0.364 0.864 0.500
In3 0.636 0.136 0.500
In4 0.864 0.636 0.500
P1 0.203 0.703 0.000
P2 0.297 0.203 0.000
P3 0.703 0.797 0.000
P4 0.797 0.297 0.000

Computed properties:
SG: P4/mbm, No. 127
Total magnetization in μB per atom: 0.000
Calculated density in g/cm3: 4.9
Formation energy in kJ/mol of atoms: 16.6

---

(3)
VASP calculation (PBE) on a geometry-optimized Al2InP structure.

abc: 3.443 3.443 7.254
angles: 90.00 90.00 90.00
Fractional positions:
Al1 0.000 0.000 0.000
Al2 0.500 0.500 0.399
In1 0.000 0.000 0.621
P1 0.500 0.500 0.077

Computed properties:
SG: P4mm, No. 99
Total magnetization in μB per atom: 0.000
Calculated density in g/cm3: 3.9
Formation energy in kJ/mol of atoms: -4.1

---

(4)
VASP calculation (PBE) on a geometry-optimized AlInP2 structure.

abc: 3.580 3.580 6.328
angles: 90.00 90.00 90.00
Fractional positions:
Al1 0.000 0.000 0.000
In1 0.500 0.500 0.491
P1 0.000 0.000 0.622
P2 0.500 0.500 0.084

Computed properties:
SG: P4mm, No. 99
Total magnetization in μB per atom: 0.000
Calculated density in g/cm3: 4.2
Formation energy in kJ/mol of atoms: -11.5

---

(5)
VASP calculation (PBE) on a geometry-optimized AlInP2 structure.

abc: 4.661 4.661 4.630
angles: 110.79 110.79 106.34
Fractional positions:
Al1 0.000 0.000 0.000
In1 0.500 0.500 0.000
P1 0.000 0.500 0.500
P2 0.500 0.000 0.500

Computed properties:
SG: C2/m, No. 12
Total magnetization in μB per atom: 0.000
Calculated density in g/cm3: 4.4
Formation energy in kJ/mol of atoms: 17.8

---

(6)
VASP calculation (PBE) on a geometry-optimized Al2InP structure.

abc: 5.870 5.870 2.969
angles: 104.52 104.52 120.40
Fractional positions:
Al1 0.000 0.500 0.000
Al2 0.500 0.000 0.000
In1 0.000 0.000 0.000
P1 0.500 0.500 0.000

Computed properties:
SG: C2/m, No. 12
Total magnetization in μB per atom: 0.000
Calculated density in g/cm3: 4.4
Formation energy in kJ/mol of atoms: 26.0